This record from the Alexandria database describes crystalline Cs2ZnCoF6 at its relaxed geometry. The functional is PBE+U.

Properties
The total energy comes out at -4.35 eV per atom.

Geometry as CIF:
```
data_Cs2ZnCoF6
_symmetry_space_group_name_H-M 'P 1'
_symmetry_Int_Tables_number 1
_cell_length_a 6.138
_cell_length_b 6.138
_cell_length_c 6.138
_cell_angle_alpha 120.90
_cell_angle_beta 120.90
_cell_angle_gamma 88.46
loop_
_symmetry_equiv_pos_as_xyz
'x,y,z'
loop_
_atom_site_label
_atom_site_type_symbol
_atom_site_fract_x
_atom_site_fract_y
_atom_site_fract_z
Cs1 Cs 0.250 0.750 0.500
Cs2 Cs 0.750 0.250 0.500
Zn1 Zn 0.000 0.000 0.000
Co1 Co 0.500 0.500 0.000
F1 F 0.226 0.226 0.000
F2 F 0.261 0.261 0.523
F3 F 0.261 0.739 0.000
F4 F 0.739 0.261 0.000
F5 F 0.739 0.739 0.477
F6 F 0.774 0.774 0.000
```